1.
Mn2CrAs | the Alexandria database | GGA-PBE | optimized geometry; total magnetization = 2.712 μB/cell; SG = No. 38; formation enthalpy at 0 K = 69 meV per atom
1.0
3.464 0.000 0.000
0.000 1.466 5.408
0.000 -1.466 5.408
Mn Cr As
2 1 1
direct
0.000 0.000 0.000
0.500 0.356 0.356
0.000 0.754 0.754
0.500 0.588 0.588


2.
Mn2CrAs | the Alexandria database | GGA-PBE | optimized geometry; total magnetization = 5.654 μB/cell; SG = No. 122; formation enthalpy at 0 K = 362 meV per atom
1.0
-3.343 3.343 2.614
3.343 -3.343 2.614
3.343 3.343 -2.614
Mn Cr As
4 2 2
direct
0.117 0.625 0.992
0.375 0.367 0.492
0.633 0.125 0.008
0.875 0.883 0.508
0.000 0.000 0.000
0.750 0.250 0.500
0.250 0.750 0.500
0.500 0.500 0.000


3.
Mn2CrAs | the Alexandria database | GGA-PBE | optimized geometry; total magnetization = 2.616 μB/cell; SG = No. 160; formation enthalpy at 0 K = 300 meV per atom
1.0
1.384 0.799 7.704
-1.384 0.799 7.704
0.000 -1.598 7.704
Mn Cr As
2 1 1
direct
0.000 0.000 0.000
0.249 0.249 0.249
0.744 0.744 0.744
0.498 0.498 0.498


4.
Mn2CrAs | the Alexandria database | GGA-PBE | optimized geometry; total magnetization = 2.501 μB/cell; SG = No. 10; formation enthalpy at 0 K = 139 meV per atom
1.0
2.693 0.000 0.000
0.000 4.181 0.000
-0.161 0.000 4.586
Mn Cr As
2 1 1
direct
0.193 0.000 0.243
0.807 0.000 0.757
0.500 0.500 0.000
0.000 0.500 0.500


5.
Mn2CrAs | the Alexandria database | GGA-PBE | optimized geometry; total magnetization = 3.659 μB/cell; SG = No. 65; formation enthalpy at 0 K = 243 meV per atom
1.0
1.617 -2.159 0.000
1.617 2.159 0.000
0.000 0.000 7.502
Mn Cr As
2 1 1
direct
0.000 0.000 0.241
0.000 0.000 0.759
0.500 0.500 0.000
0.500 0.500 0.500


6.
Mn2CrAsN | the Alexandria database | GGA-PBE | optimized geometry; total magnetization = 2.831 μB/cell; SG = No. 123; formation energy from raw total energies = -0.199 eV/atom
1.0
3.881 0.000 0.000
0.000 3.881 0.000
0.000 0.000 3.988
Mn Cr As N
2 1 1 1
direct
0.000 0.500 0.000
0.500 0.000 0.000
0.000 0.000 0.500
0.500 0.500 0.500
0.000 0.000 0.000


7.
MnCrNiAs | the Alexandria database | GGA-PBE | optimized geometry; total magnetization = 1.149 μB/cell; SG = No. 216; formation enthalpy at 0 K = 2 meV per atom
1.0
0.000 2.942 2.942
2.942 0.000 2.942
2.942 2.942 0.000
Mn Cr Ni As
1 1 1 1
direct
0.000 0.000 0.000
0.750 0.750 0.750
0.250 0.250 0.250
0.500 0.500 0.500


8.
Mn2CrNi7As2 | the Alexandria database | GGA-PBE | optimized geometry; total magnetization = 8.307 μB/cell; SG = No. 65; formation enthalpy at 0 K = -38 meV per atom
1.0
2.532 -2.546 0.000
2.532 2.546 0.000
0.000 0.000 11.408
Mn Cr Ni As
2 1 7 2
direct
0.000 0.000 0.180
0.000 0.000 0.820
0.500 0.500 0.500
0.000 0.000 0.500
0.000 0.500 0.347
0.000 0.500 0.653
0.258 0.742 0.000
0.500 0.000 0.347
0.500 0.000 0.653
0.742 0.258 0.000
0.500 0.500 0.188
0.500 0.500 0.812


no.,theoretical density (g/cm³)
1,7.16
2,6.73
3,7.70
4,7.62
5,7.50
6,6.93
7,7.85
8,8.16